A relaxed Tb9Y4Er11 crystal. Source: Alexandria via LeMat-Bulk, functional PBE. Values from VASP.

For the magnetization, the calculation gives 0.006 μB/f.u. As for the space-group type: Cmmm. For the formation energy, the calculation gives 57 meV/atom.

```
&SYSTEM
  ibrav = 0, nat = 24, ntyp = 3
/
ATOMIC_SPECIES
Tb 158.93 Tb.upf
Y 88.91 Y.upf
Er 167.26 Er.upf
ATOMIC_POSITIONS crystal
Tb 0.000 0.000 0.000
Tb 0.131 0.664 0.000
Tb 0.287 0.433 0.000
Tb 0.336 0.869 0.000
Tb 0.433 0.287 0.000
Tb 0.567 0.713 0.000
Tb 0.664 0.131 0.000
Tb 0.713 0.567 0.000
Tb 0.869 0.336 0.000
Y 0.055 0.256 0.000
Y 0.256 0.055 0.000
Y 0.744 0.945 0.000
Y 0.945 0.744 0.000
Er 0.094 0.457 0.500
Er 0.134 0.866 0.500
Er 0.211 0.211 0.500
Er 0.339 0.661 0.500
Er 0.457 0.094 0.500
Er 0.500 0.500 0.500
Er 0.543 0.906 0.500
Er 0.661 0.339 0.500
Er 0.789 0.789 0.500
Er 0.866 0.134 0.500
Er 0.906 0.543 0.500
CELL_PARAMETERS angstrom
8.293 -12.559 0.000
8.293 12.559 0.000
0.000 0.000 3.655
```